An optimized crystal structure of Pr2Sm5TmSc. Source: the Alexandria database, functional PBE-GGA.

```
18
Lattice="2.703 -11.024 0.000 2.703 11.024 0.000 0.000 0.000 10.132" Properties=species:S:1:pos:R:3 pbc="T T T"
Pr 2.703 8.466 5.066
Pr 2.703 8.458 10.045
Pr 2.703 -8.466 0.000
Pr 2.703 -8.458 4.979
Sm 2.703 -11.024 2.490
Sm 2.703 11.024 7.555
Sm 2.703 4.912 5.666
Sm 2.703 4.903 9.455
Sm 2.703 2.815 2.490
Sm 2.703 0.002 5.022
Sm 2.703 -0.002 10.088
Sm 2.703 -2.815 7.556
Sm 2.703 -4.903 4.389
Sm 2.703 -4.912 0.600
Tm 2.703 2.261 7.556
Tm 2.703 -2.261 2.490
Sc 2.703 6.336 2.494
Sc 2.703 -6.336 7.560
```

Calculated values
The space-group type is No. 36. The calculation puts the formation energy from the elements at 0.119 eV/atom. The density of states at the Fermi level is 25.198 states/eV per cell. The size of the total moment is 0.000 μB/atom.

---

An optimized crystal structure of Pr6SmTm2Sc. Source: the Alexandria database, functional PBE-GGA.

```
20
Lattice="4.704 -7.638 0.000 4.704 7.638 0.000 -1.036 0.000 9.407" Properties=species:S:1:pos:R:3 pbc="T T T"
Pr 1.316 3.302 7.586
Pr 3.588 4.978 5.200
Pr 4.265 4.978 8.910
Pr 3.419 1.717 3.649
Pr 1.834 -3.302 2.882
Pr 5.470 1.717 1.054
Pr 2.901 -1.717 8.352
Pr 6.538 3.302 6.524
Pr 4.952 -1.717 5.758
Pr 4.106 -4.978 0.497
Pr 4.783 -4.978 4.206
Pr 7.056 -3.302 1.821
Sm 4.445 7.195 2.352
Sm 3.927 -7.195 7.055
Tm 2.331 0.716 0.482
Tm 1.813 -0.716 5.186
Tm 6.559 0.716 4.221
Tm 6.040 -0.716 8.924
Sc 3.927 1.212 7.055
Sc 4.445 -1.212 2.352
```

Calculated values
The space-group type is No. 15. The calculation puts the formation energy from the elements at 0.126 eV/atom. The density of states at the Fermi level is 30.139 states/eV per cell. The size of the total moment is 0.000 μB/atom.

---

An optimized crystal structure of Pr2SmTm4Sc. Source: the Alexandria database, functional PBE-GGA.

```
8
Lattice="5.020 0.000 0.000 0.000 5.020 0.000 0.000 0.000 9.925" Properties=species:S:1:pos:R:3 pbc="T T T"
Pr 0.000 0.000 0.000
Pr 2.510 2.510 4.962
Sm 0.000 0.000 4.962
Tm 0.000 2.510 2.425
Tm 0.000 2.510 7.500
Tm 2.510 0.000 2.425
Tm 2.510 0.000 7.500
Sc 2.510 2.510 0.000
```

Calculated values
The space-group type is No. 123. The calculation puts the formation energy from the elements at 0.041 eV/atom. The density of states at the Fermi level is 12.321 states/eV per cell. The size of the total moment is 0.000 μB/atom.

---

An optimized crystal structure of PrSmTm3Sc. Source: the Alexandria database, functional PBE-GGA.

```
12
Lattice="2.489 -7.451 0.000 2.489 7.451 0.000 0.000 0.000 9.932" Properties=species:S:1:pos:R:3 pbc="T T T"
Pr 0.000 0.000 0.000
Pr 0.000 0.000 4.966
Sm 2.489 0.026 7.449
Sm 2.489 -0.026 2.483
Tm 2.489 4.906 7.449
Tm 2.489 2.527 9.931
Tm 2.489 2.527 4.967
Tm 2.489 -2.527 0.001
Tm 2.489 -2.527 4.965
Tm 2.489 -4.906 2.483
Sc 2.489 4.933 2.483
Sc 2.489 -4.933 7.449
```

Calculated values
The space-group type is No. 63. The calculation puts the formation energy from the elements at 0.044 eV/atom. The density of states at the Fermi level is 18.303 states/eV per cell. The size of the total moment is 0.000 μB/atom.

---

Which formula does entry 1 have? Pr2Sm5TmSc

---

What is the formation energy from the elements in the fourth record? 0.044 eV/atom